Record 1
{
  "formula": "CeHoH",
  "functional": "PBE",
  "state": "optimized geometry",
  "lattice": [[-0.3835, -3.1320, 1.1580], [2.8653, -0.9072, -1.5048], [1.8146, 3.4727, 5.1153]],
  "species": ["H", "Ho", "Ce"],
  "fractional_positions": [[0.4489, 0.4489, 0.8977], [0.6333, 0.6333, 0.2665], [0.9179, 0.9179, 0.8357]],
  "spacegroup": "I4mm (107)",
  "de_polymorph_mev_per_atom": 174.9,
  "crystal_system": "tetragonal",
  "magmom_total_mub_per_cell": 1.0
}

---

Record 2
{
  "formula": "Ce2HoH",
  "functional": "PBE",
  "state": "optimized geometry",
  "lattice": [[3.4435, 0.0000, 0.0000], [1.7218, 2.9822, 0.0000], [1.7218, 0.9941, 8.8947]],
  "species": ["H", "Ho", "Ce", "Ce"],
  "fractional_positions": [[0.0000, 0.0000, 0.0000], [0.5000, 0.5000, 0.5000], [0.2767, 0.2767, 0.1698], [0.7233, 0.7233, 0.8302]],
  "spacegroup": "R-3m (166)",
  "de_polymorph_mev_per_atom": 0.0,
  "crystal_system": "trigonal",
  "magmom_total_mub_per_cell": 1.5
}

---

Record 3
{
  "formula": "CeHoH",
  "functional": "PBE",
  "state": "optimized geometry",
  "lattice": [[-0.6899, -3.0208, -1.6357], [-0.1162, 0.1645, 3.4980], [-5.6424, 1.4265, -0.2546]],
  "species": ["H", "Ho", "Ce"],
  "fractional_positions": [[0.3333, 0.6667, 0.6575], [0.6667, 0.3333, 0.4256], [0.0000, 0.0000, 0.9169]],
  "spacegroup": "P3m1 (156)",
  "de_polymorph_mev_per_atom": 39.5,
  "crystal_system": "trigonal",
  "magmom_total_mub_per_cell": 0.8
}

---

Number 1: electronic total energy -4.6614 eV/atom. Number 2: electronic total energy -5.0279 eV/atom. Number 3: electronic total energy -4.7968 eV/atom.